No. 1
A plane-wave DFT calculation with PBE was carried out for a relaxed Pm2Nd3Cd3 crystal.

## Properties
Total magnetic moment = 0.000 μB per atom
Total energy = -3.55 eV per atom
Crystal system = orthorhombic

Unit cell a=3.849 b=5.531 c=22.680 alpha=90.00 beta=90.00 gamma=90.00
Space group Immm (No. 71)
One atom of each set of equivalent atoms:
Pm  0.000  0.000  0.234 (multiplicity 4)
Nd  0.000  0.000  0.000 (multiplicity 2)
Nd  0.000  0.500  0.122 (multiplicity 4)
Cd  0.000  0.000  0.500 (multiplicity 2)
Cd  0.000  0.500  0.382 (multiplicity 4)

No. 2
A plane-wave DFT calculation with PBE was carried out for a relaxed Pm3NdCd4 crystal.

## Properties
Total magnetic moment = 0.210 μB per atom
Total energy = -3.16 eV per atom
Crystal system = orthorhombic

Unit cell a=10.811 b=7.737 c=5.404 alpha=90.00 beta=90.00 gamma=90.00
Space group Pmma (No. 51)
One atom of each set of equivalent atoms:
Pm  0.000  0.000  0.000 (multiplicity 2)
Pm  0.250  0.000  0.499 (multiplicity 2)
Pm  0.250  0.500  0.499 (multiplicity 2)
Nd  0.000  0.500  0.000 (multiplicity 2)
Cd  0.000  0.248  0.500 (multiplicity 4)
Cd  0.250  0.248  0.999 (multiplicity 4)

No. 3
A plane-wave DFT calculation with PBE was carried out for a relaxed Pm2Nd6Cd crystal.

## Properties
Total magnetic moment = 0.000 μB per atom
Total energy = -4.24 eV per atom
Crystal system = monoclinic

Unit cell a=7.850 b=6.937 c=11.909 alpha=90.00 beta=106.51 gamma=90.00
Space group P2_1/c (No. 14)
One atom of each set of equivalent atoms:
Pm  0.103  0.013  0.260 (multiplicity 4)
Nd  0.155  0.690  0.031 (multiplicity 4)
Nd  0.262  0.151  0.008 (multiplicity 4)
Nd  0.416  0.065  0.766 (multiplicity 4)
Cd  0.500  0.000  0.500 (multiplicity 2)

Number 2 is which compound? Pm3NdCd4

Please write out number 3 again, unchanged.
A plane-wave DFT calculation with PBE was carried out for a relaxed Pm2Nd6Cd crystal.

## Properties
Total magnetic moment = 0.000 μB per atom
Total energy = -4.24 eV per atom
Crystal system = monoclinic

Unit cell a=7.850 b=6.937 c=11.909 alpha=90.00 beta=106.51 gamma=90.00
Space group P2_1/c (No. 14)
One atom of each set of equivalent atoms:
Pm  0.103  0.013  0.260 (multiplicity 4)
Nd  0.155  0.690  0.031 (multiplicity 4)
Nd  0.262  0.151  0.008 (multiplicity 4)
Nd  0.416  0.065  0.766 (multiplicity 4)
Cd  0.500  0.000  0.500 (multiplicity 2)

The lowest total energy belongs to which entry? Pm2Nd6Cd

Among the records above, which one has the lowest total energy? Pm2Nd6Cd